No. 1
Below is a crystal of AgSbTe2C relaxed with PBEsol, with properties calculated at the SCAN level.

Raw formation energy: 1.103 eV per atom
Space-group type: P4/mmm, No. 123

CIF file:
```
data_AgSbTe2C
_chemical_formula_sum 'Ag1 Sb1 Te2 C1'
_space_group_name_H-M_alt 'P 1'
_space_group_IT_number 1
_cell_length_a 4.649
_cell_length_b 4.795
_cell_length_c 4.795
_cell_angle_alpha 90.00
_cell_angle_beta 90.00
_cell_angle_gamma 90.00
loop_
_space_group_symop_operation_xyz
'x,y,z'
loop_
_atom_site_label
_atom_site_type_symbol
_atom_site_fract_x
_atom_site_fract_y
_atom_site_fract_z
_atom_site_occupancy
Te1 Te 0.000 0.500 0.000 1
Te2 Te 0.000 0.000 0.500 1
Ag1 Ag 0.500 0.500 0.500 1
C1 C 0.000 0.000 0.000 1
Sb1 Sb 0.500 0.000 0.000 1
```



No. 2
Below is a crystal of Sc3AgC relaxed with PBEsol, with properties calculated at the SCAN level.

Space-group type: Imma, No. 74
Energy relative to the elements: -522.6 meV per atom

CIF file:
```
data_Sc3AgC
_chemical_formula_sum 'Sc6 Ag2 C2'
_space_group_name_H-M_alt 'P 1'
_space_group_IT_number 1
_cell_length_a 6.290
_cell_length_b 6.290
_cell_length_c 6.290
_cell_angle_alpha 91.12
_cell_angle_beta 119.08
_cell_angle_gamma 119.63
loop_
_space_group_symop_operation_xyz
'x,y,z'
loop_
_atom_site_label
_atom_site_type_symbol
_atom_site_fract_x
_atom_site_fract_y
_atom_site_fract_z
_atom_site_occupancy
C1 C 0.500 0.000 0.500 1
C2 C 0.500 0.500 0.000 1
Ag1 Ag 0.994 0.244 0.250 1
Ag2 Ag 0.006 0.756 0.750 1
Sc1 Sc 0.500 0.214 0.214 1
Sc2 Sc 0.429 0.679 0.250 1
Sc3 Sc 0.000 0.214 0.714 1
Sc4 Sc 0.000 0.786 0.286 1
Sc5 Sc 0.500 0.786 0.786 1
Sc6 Sc 0.571 0.321 0.750 1
```



No. 3
Below is a crystal of SiAg3C relaxed with PBEsol, with properties calculated at the SCAN level.

Raw formation energy: 1.779 eV per atom
Space-group type: Pm-3m, No. 221

CIF file:
```
data_SiAg3C
_chemical_formula_sum 'Si1 Ag3 C1'
_space_group_name_H-M_alt 'P 1'
_space_group_IT_number 1
_cell_length_a 4.664
_cell_length_b 4.664
_cell_length_c 4.664
_cell_angle_alpha 90.00
_cell_angle_beta 90.00
_cell_angle_gamma 90.00
loop_
_space_group_symop_operation_xyz
'x,y,z'
loop_
_atom_site_label
_atom_site_type_symbol
_atom_site_fract_x
_atom_site_fract_y
_atom_site_fract_z
_atom_site_occupancy
Ag1 Ag 0.500 0.000 0.000 1
Ag2 Ag 0.000 0.500 0.000 1
Ag3 Ag 0.000 0.000 0.500 1
Si1 Si 0.000 0.000 0.000 1
C1 C 0.500 0.500 0.500 1
```



No. 4
Below is a crystal of Si3AgC relaxed with PBEsol, with properties calculated at the SCAN level.

Raw formation energy: 1.003 eV per atom
Space-group type: Pm-3m, No. 221

CIF file:
```
data_Si3AgC
_chemical_formula_sum 'Si3 Ag1 C1'
_space_group_name_H-M_alt 'P 1'
_space_group_IT_number 1
_cell_length_a 4.050
_cell_length_b 4.050
_cell_length_c 4.050
_cell_angle_alpha 90.00
_cell_angle_beta 90.00
_cell_angle_gamma 90.00
loop_
_space_group_symop_operation_xyz
'x,y,z'
loop_
_atom_site_label
_atom_site_type_symbol
_atom_site_fract_x
_atom_site_fract_y
_atom_site_fract_z
_atom_site_occupancy
Ag1 Ag 0.500 0.500 0.500 1
C1 C 0.000 0.000 0.000 1
Si1 Si 0.500 0.000 0.000 1
Si2 Si 0.000 0.500 0.000 1
Si3 Si 0.000 0.000 0.500 1
```



No. 5
Below is a crystal of SiAg2SnC relaxed with PBEsol, with properties calculated at the SCAN level.

Raw formation energy: 0.826 eV per atom
Space-group type: P4/mmm, No. 123

CIF file:
```
data_SiAg2SnC
_chemical_formula_sum 'Si1 Ag2 Sn1 C1'
_space_group_name_H-M_alt 'P 1'
_space_group_IT_number 1
_cell_length_a 3.397
_cell_length_b 5.003
_cell_length_c 5.003
_cell_angle_alpha 90.00
_cell_angle_beta 90.00
_cell_angle_gamma 90.00
loop_
_space_group_symop_operation_xyz
'x,y,z'
loop_
_atom_site_label
_atom_site_type_symbol
_atom_site_fract_x
_atom_site_fract_y
_atom_site_fract_z
_atom_site_occupancy
Ag1 Ag 0.000 0.000 0.500 1
Ag2 Ag 0.000 0.500 0.000 1
Sn1 Sn 0.500 0.500 0.500 1
Si1 Si 0.500 0.000 0.000 1
C1 C 0.000 0.000 0.000 1
```



No. 6
Below is a crystal of AgSn3C relaxed with PBEsol, with properties calculated at the SCAN level.

Space-group type: Pm-3m, No. 221
Energy relative to the elements: 1775.3 meV per atom

CIF file:
```
data_AgSn3C
_chemical_formula_sum 'Ag1 Sn3 C1'
_space_group_name_H-M_alt 'P 1'
_space_group_IT_number 1
_cell_length_a 5.201
_cell_length_b 5.201
_cell_length_c 5.201
_cell_angle_alpha 90.00
_cell_angle_beta 90.00
_cell_angle_gamma 90.00
loop_
_space_group_symop_operation_xyz
'x,y,z'
loop_
_atom_site_label
_atom_site_type_symbol
_atom_site_fract_x
_atom_site_fract_y
_atom_site_fract_z
_atom_site_occupancy
Ag1 Ag 0.000 0.000 0.000 1
Sn1 Sn 0.000 0.500 0.000 1
Sn2 Sn 0.500 0.000 0.000 1
Sn3 Sn 0.000 0.000 0.500 1
C1 C 0.500 0.500 0.500 1
```



Please write out number 2 again, unchanged.
Below is a crystal of Sc3AgC relaxed with PBEsol, with properties calculated at the SCAN level.

Space-group type: Imma, No. 74
Energy relative to the elements: -522.6 meV per atom

CIF file:
```
data_Sc3AgC
_chemical_formula_sum 'Sc6 Ag2 C2'
_space_group_name_H-M_alt 'P 1'
_space_group_IT_number 1
_cell_length_a 6.290
_cell_length_b 6.290
_cell_length_c 6.290
_cell_angle_alpha 91.12
_cell_angle_beta 119.08
_cell_angle_gamma 119.63
loop_
_space_group_symop_operation_xyz
'x,y,z'
loop_
_atom_site_label
_atom_site_type_symbol
_atom_site_fract_x
_atom_site_fract_y
_atom_site_fract_z
_atom_site_occupancy
C1 C 0.500 0.000 0.500 1
C2 C 0.500 0.500 0.000 1
Ag1 Ag 0.994 0.244 0.250 1
Ag2 Ag 0.006 0.756 0.750 1
Sc1 Sc 0.500 0.214 0.214 1
Sc2 Sc 0.429 0.679 0.250 1
Sc3 Sc 0.000 0.214 0.714 1
Sc4 Sc 0.000 0.786 0.286 1
Sc5 Sc 0.500 0.786 0.786 1
Sc6 Sc 0.571 0.321 0.750 1
```